{
  "formula": "Ac2Tb8Dy3",
  "functional": "PBE-GGA",
  "state": "optimized geometry",
  "lattice_angstrom": [[6.088, 0.315, 1.349], [1.970, 8.488, 1.517], [0.836, -0.686, 8.778]],
  "species": ["Tb", "Tb", "Tb", "Tb", "Tb", "Tb", "Tb", "Tb", "Ac", "Ac", "Dy", "Dy", "Dy"],
  "frac_coords": [[0.674, 0.581, 0.087], [0.674, 0.087, 0.581], [0.772, 0.430, 0.430], [0.040, 0.849, 0.849], [0.228, 0.570, 0.570], [0.960, 0.151, 0.151], [0.326, 0.913, 0.419], [0.326, 0.419, 0.913], [0.354, 0.298, 0.298], [0.646, 0.702, 0.702], [0.000, 0.247, 0.753], [0.500, 0.000, 0.000], [0.000, 0.753, 0.247]],
  "formation_enthalpy_0k_ev_per_atom": 0.2048,
  "rho_g_cm3": 8.3,
  "space_group": "C2/m"
}